No. 1
The following is a DFT calculation (GGA-PBE) of a geometry-optimized NaTbAu4 structure.

Cell and atoms, written as CIF:
```
data_NaTbAu4
_chemical_formula_sum 'Na2 Tb2 Au8'
_cell_length_a 9.7611
_cell_length_b 3.7489
_cell_length_c 7.3961
_cell_angle_alpha 90.00
_cell_angle_beta 111.91
_cell_angle_gamma 90.00
_space_group_name_H-M_alt 'C 1 2/m 1'
_space_group_IT_number 12
_space_group_name_Hall '-C 2y'
loop_
_atom_site_label
_atom_site_fract_x
_atom_site_fract_y
_atom_site_fract_z
_atom_site_occupancy
Na1 0.0000 0.0000 0.0000 1
Tb1 0.0000 0.0000 0.5000 1
Au1 0.1637 0.5000 0.3294 1
Au2 0.1678 0.5000 0.8318 1
```

Values from the calculation:
**Calculated formation energy**: -0.52 eV/atom
**Calculated volume**: 20.92 Å³ per atom
**Energy above the most stable polymorph in this dataset**: 0.00 eV per formula unit
**ρ**: 12.83 Mg/m³

No. 2
The following is a DFT calculation (GGA-PBE) of a geometry-optimized TlAuC structure.

Cell and atoms, written as CIF:
```
data_TlAuC
_chemical_formula_sum 'Tl2 Au2 C2'
_cell_length_a 4.7630
_cell_length_b 4.8034
_cell_length_c 6.1974
_cell_angle_alpha 107.92
_cell_angle_beta 99.60
_cell_angle_gamma 95.95
_space_group_name_H-M_alt 'P 1'
_space_group_IT_number 1
_space_group_name_Hall 'P 1'
loop_
_atom_site_label
_atom_site_fract_x
_atom_site_fract_y
_atom_site_fract_z
_atom_site_occupancy
Tl1 0.0000 0.0000 0.0000 1
Tl2 0.3743 0.3736 0.6405 1
Au1 0.3764 0.8195 0.3157 1
Au2 0.8946 0.6655 0.5220 1
C1 0.5226 0.4848 0.0579 1
C2 0.7454 0.4027 0.1581 1
```

Values from the calculation:
**Calculated formation energy**: 0.70 eV/atom
**Calculated volume**: 21.86 Å³ per atom
**ρ**: 10.46 Mg/m³

No. 3
The following is a DFT calculation (GGA-PBE) of a geometry-optimized Th6Co3RuRh2 structure.

Cell and atoms, written as CIF:
```
data_Th6Co3RuRh2
_chemical_formula_sum 'Th12 Co6 Ru2 Rh4'
_cell_length_a 17.5054
_cell_length_b 3.9968
_cell_length_c 8.0503
_cell_angle_alpha 90.00
_cell_angle_beta 103.57
_cell_angle_gamma 90.00
_space_group_name_H-M_alt 'C 1 2/m 1'
_space_group_IT_number 12
_space_group_name_Hall '-C 2y'
loop_
_atom_site_label
_atom_site_fract_x
_atom_site_fract_y
_atom_site_fract_z
_atom_site_occupancy
Th1 0.0024 0.0000 0.2477 1
Th2 0.1629 0.5000 0.0922 1
Th3 0.1674 0.5000 0.5770 1
Co1 0.0000 0.5000 0.0000 1
Co2 0.1692 0.0000 0.3340 1
Ru1 0.0000 0.5000 0.5000 1
Rh1 0.1684 0.0000 0.8382 1
```

Values from the calculation:
**Calculated formation energy**: -0.49 eV/atom
**Calculated volume**: 22.81 Å³ per atom
**ρ**: 11.38 Mg/m³

No. 4
The following is a DFT calculation (GGA-PBE) of a geometry-optimized BaScB2 structure.

Cell and atoms, written as CIF:
```
data_BaScB2
_chemical_formula_sum 'Ba4 Sc4 B8'
_cell_length_a 4.6795
_cell_length_b 4.6795
_cell_length_c 16.3573
_cell_angle_alpha 90.00
_cell_angle_beta 90.00
_cell_angle_gamma 90.00
_space_group_name_H-M_alt 'I 41/a m d'
_space_group_IT_number 141
loop_
_space_group_symop_operation_xyz
'x,y,z'
'-x,-y,-z'
'-y+1/4,x+3/4,z+1/4'
'y+1/4,-x+3/4,-z+1/4'
'-x+1/2,-y,z+1/2'
'x+1/2,y,-z+1/2'
'y+1/4,-x+1/4,z+3/4'
'-y+1/4,x+1/4,-z+3/4'
'x,-y,-z'
'-x,y,z'
'-y+1/4,-x+1/4,-z+3/4'
'y+1/4,x+1/4,z+3/4'
'-x+1/2,y,-z+1/2'
'x+1/2,-y,z+1/2'
'y+1/4,x+3/4,-z+1/4'
'-y+1/4,-x+3/4,z+1/4'
'x+1/2,y+1/2,z+1/2'
'-x+1/2,-y+1/2,-z+1/2'
'-y+3/4,x+1/4,z+3/4'
'y+3/4,-x+1/4,-z+3/4'
'-x,-y+1/2,z'
'x,y+1/2,-z'
'y+3/4,-x+3/4,z+1/4'
'-y+3/4,x+3/4,-z+1/4'
'x+1/2,-y+1/2,-z+1/2'
'-x+1/2,y+1/2,z+1/2'
'-y+3/4,-x+3/4,-z+1/4'
'y+3/4,x+3/4,z+1/4'
'-x,y+1/2,-z'
'x,-y+1/2,z'
'y+3/4,x+1/4,-z+3/4'
'-y+3/4,-x+1/4,z+3/4'
loop_
_atom_site_label
_atom_site_fract_x
_atom_site_fract_y
_atom_site_fract_z
_atom_site_occupancy
Ba1 0.0000 0.2500 0.3750 1
Sc1 0.0000 0.2500 0.8750 1
B1 0.0000 0.0000 0.0000 1
```

Values from the calculation:
**Calculated formation energy**: 0.90 eV/atom
**Calculated volume**: 22.39 Å³ per atom
**Energy above the most stable polymorph in this dataset**: 0.00 eV per formula unit
**ρ**: 3.78 Mg/m³

No. 5
The following is a DFT calculation (GGA-PBE) of a geometry-optimized Ac2Tb4Sm7 structure.

Cell and atoms, written as CIF:
```
data_Ac2Tb4Sm7
_chemical_formula_sum 'Ac2 Tb4 Sm7'
_cell_length_a 6.2854
_cell_length_b 6.2854
_cell_length_c 13.3854
_cell_angle_alpha 90.00
_cell_angle_beta 90.00
_cell_angle_gamma 120.00
_space_group_name_H-M_alt 'P -3 1 m'
_space_group_IT_number 162
_space_group_name_Hall '-P 3 2'
loop_
_atom_site_label
_atom_site_fract_x
_atom_site_fract_y
_atom_site_fract_z
_atom_site_occupancy
Ac1 0.3333 0.6667 0.0000 1
Tb1 0.0000 0.0000 0.3945 1
Tb2 0.3333 0.6667 0.5000 1
Sm1 0.0000 0.0000 0.0000 1
Sm2 0.0000 0.3660 0.7746 1
```

Values from the calculation:
**Calculated formation energy**: 0.20 eV/atom
**Calculated volume**: 35.23 Å³ per atom
**ρ**: 7.77 Mg/m³

No. 6
The following is a DFT calculation (GGA-PBE) of a geometry-optimized SrHfCr2 structure.

Cell and atoms, written as CIF:
```
data_SrHfCr2
_chemical_formula_sum 'Sr4 Hf4 Cr8'
_cell_length_a 7.0074
_cell_length_b 7.0074
_cell_length_c 7.0074
_cell_angle_alpha 90.00
_cell_angle_beta 90.00
_cell_angle_gamma 90.00
_space_group_name_H-M_alt 'F m -3 m'
_space_group_IT_number 225
_space_group_name_Hall '-F 4 2 3'
loop_
_atom_site_label
_atom_site_fract_x
_atom_site_fract_y
_atom_site_fract_z
_atom_site_occupancy
Sr1 0.0000 0.0000 0.0000 1
Hf1 0.0000 0.0000 0.5000 1
Cr1 0.2500 0.2500 0.2500 1
```

Values from the calculation:
**Calculated formation energy**: 0.84 eV/atom
**Calculated volume**: 21.51 Å³ per atom
**Energy above the most stable polymorph in this dataset**: 0.00 eV per formula unit
**ρ**: 7.14 Mg/m³

No. 7
The following is a DFT calculation (GGA-PBE) of a geometry-optimized Ca2MgW structure.

Cell and atoms, written as CIF:
```
data_Ca2MgW
_chemical_formula_sum 'Ca6 Mg3 W3'
_cell_length_a 3.2141
_cell_length_b 3.2141
_cell_length_c 33.2010
_cell_angle_alpha 90.00
_cell_angle_beta 90.00
_cell_angle_gamma 120.00
_space_group_name_H-M_alt 'R -3 m'
_space_group_IT_number 166
_space_group_name_Hall '-R 3 2"'
loop_
_atom_site_label
_atom_site_fract_x
_atom_site_fract_y
_atom_site_fract_z
_atom_site_occupancy
Ca1 0.0000 0.0000 0.2412 1
Mg1 0.0000 0.0000 0.0000 1
W1 0.0000 0.0000 0.5000 1
```

Values from the calculation:
**Calculated formation energy**: 0.69 eV/atom
**Calculated volume**: 24.75 Å³ per atom
**ρ**: 4.84 Mg/m³

No. 8
The following is a DFT calculation (GGA-PBE) of a geometry-optimized Pr3ZnGa3 structure.

Cell and atoms, written as CIF:
```
data_Pr3ZnGa3
_chemical_formula_sum 'Pr12 Zn4 Ga12'
_cell_length_a 11.0685
_cell_length_b 4.5612
_cell_length_c 14.6443
_cell_angle_alpha 90.00
_cell_angle_beta 109.81
_cell_angle_gamma 90.00
_space_group_name_H-M_alt 'C 1 2/m 1'
_space_group_IT_number 12
_space_group_name_Hall '-C 2y'
loop_
_atom_site_label
_atom_site_fract_x
_atom_site_fract_y
_atom_site_fract_z
_atom_site_occupancy
Pr1 0.0526 0.0000 0.3859 1
Pr2 0.0971 0.0000 0.9171 1
Pr3 0.2464 0.5000 0.7813 1
Zn1 0.2445 0.0000 0.6086 1
Ga1 0.0515 0.5000 0.2346 1
Ga2 0.1098 0.5000 0.0713 1
Ga3 0.1288 0.5000 0.5448 1
```

Values from the calculation:
**Calculated formation energy**: -0.56 eV/atom
**Calculated volume**: 24.84 Å³ per atom
**ρ**: 6.66 Mg/m³

No. 9
The following is a DFT calculation (GGA-PBE) of a geometry-optimized UTlCl6 structure.

Cell and atoms, written as CIF:
```
data_UTlCl6
_chemical_formula_sum 'U2 Tl2 Cl12'
_cell_length_a 7.5291
_cell_length_b 11.6323
_cell_length_c 7.1341
_cell_angle_alpha 90.00
_cell_angle_beta 104.13
_cell_angle_gamma 90.00
_space_group_name_H-M_alt 'C 1 2/m 1'
_space_group_IT_number 12
_space_group_name_Hall '-C 2y'
loop_
_atom_site_label
_atom_site_fract_x
_atom_site_fract_y
_atom_site_fract_z
_atom_site_occupancy
U1 0.0000 0.0000 0.0000 1
Tl1 0.0000 0.5000 0.5000 1
Cl1 0.1782 0.1528 0.2235 1
Cl2 0.2437 0.0000 0.8103 1
```

Values from the calculation:
**Calculated volume**: 37.87 Å³ per atom
**Energy above the most stable polymorph in this dataset**: 0.00 eV per formula unit
**Uncorrected formation energy**: -12.23 eV/f.u.
**ρ**: 3.59 Mg/m³

No. 10
The following is a DFT calculation (GGA-PBE) of a geometry-optimized Ac3CeO structure.

Cell and atoms, written as CIF:
```
data_Ac3CeO
_chemical_formula_sum 'Ac3 Ce1 O1'
_cell_length_a 5.3930
_cell_length_b 5.3930
_cell_length_c 5.3930
_cell_angle_alpha 90.00
_cell_angle_beta 90.00
_cell_angle_gamma 90.00
_space_group_name_H-M_alt 'P m -3 m'
_space_group_IT_number 221
_space_group_name_Hall '-P 4 2 3'
loop_
_atom_site_label
_atom_site_fract_x
_atom_site_fract_y
_atom_site_fract_z
_atom_site_occupancy
Ac1 0.0000 0.0000 0.5000 1
Ce1 0.5000 0.5000 0.5000 1
O1 0.0000 0.0000 0.0000 1
```

Values from the calculation:
**Calculated volume**: 31.37 Å³ per atom
**Uncorrected formation energy**: -4.89 eV/f.u.
**ρ**: 8.86 Mg/m³

No. 11
The following is a DFT calculation (GGA-PBE) of a geometry-optimized HoMn6 structure.

Cell and atoms, written as CIF:
```
data_HoMn6
_chemical_formula_sum 'Ho2 Mn12'
_cell_length_a 6.0730
_cell_length_b 6.0730
_cell_length_c 6.0730
_cell_angle_alpha 90.00
_cell_angle_beta 90.00
_cell_angle_gamma 90.00
_space_group_name_H-M_alt 'I m -3 m'
_space_group_IT_number 229
_space_group_name_Hall '-I 4 2 3'
loop_
_atom_site_label
_atom_site_fract_x
_atom_site_fract_y
_atom_site_fract_z
_atom_site_occupancy
Ho1 0.0000 0.0000 0.0000 1
Mn1 0.0000 0.2500 0.5000 1
```

Values from the calculation:
**Calculated formation energy**: 0.67 eV/atom
**Calculated volume**: 16.00 Å³ per atom
**Energy above the most stable polymorph in this dataset**: 4.31 eV per formula unit
**ρ**: 7.33 Mg/m³